A plane-wave DFT calculation with PBE was carried out for an optimized crystal structure of Ta2CdSb.

Cell: 4.7969 3.0225 5.6679 Å, 77.89 90.00 90.00°
Sites, in units of the cell vectors:
Sb (0.5000, 0.7370, 0.7757)
Cd (0.0000, 0.5315, 0.4738)
Ta (0.0000, 0.0455, 0.9964)
Ta (0.5000, 0.1860, 0.2541)

Relative energy among the computed polymorphs = 177 meV per atom
N(E_F) = 0.579 states/eV per atom
Energy = -6.85 eV per atom
Formation energy (no corrections) = 0.3365 eV/atom
Total magnetization = 0.000 μB per atom